## LiAsOs2 (PBE-GGA)

Data for an optimized crystal structure of LiAsOs2.

```
8
Lattice="-3.6529 3.6529 2.2199 3.6529 -3.6529 2.2199 3.6529 3.6529 -2.2199" Properties=species:S:1:pos:R:3 pbc="T T T"
Li 0.0000 0.0000 0.0000
Li 0.0000 3.6529 1.1099
As 3.6529 0.0000 1.1099
As 0.0000 0.0000 2.2199
Os 5.4794 1.2584 -0.5550
Os 1.2584 1.8265 0.5550
Os -1.8265 2.3946 1.6649
Os 2.3946 1.8265 2.7749
```

Properties
Energy relative to the elements (eV/atom): 0.961
VASP energy (eV per atom): -6.2951
Spin magnetization (μB/f.u.): 0.0

=====

## MgTi2AlTe (PBE-GGA)

Data for an optimized crystal structure of MgTi2AlTe.

```
5
Lattice="4.9436 0.0000 0.0000 0.0000 4.9436 0.0000 0.0000 0.0000 4.9024" Properties=species:S:1:pos:R:3 pbc="T T T"
Mg 0.0000 0.0000 0.0000
Ti 0.0000 2.4718 2.4512
Ti 2.4718 0.0000 2.4512
Al 0.0000 0.0000 2.4512
Te 2.4718 2.4718 0.0000
```

Properties
Energy relative to the elements, uncorrected (eV per atom): 0.487
VASP energy (eV per atom): -4.3667
Spin magnetization (μB/f.u.): 2.9

=====

## Sr2MnPb (PBE-GGA)

Data for an optimized crystal structure of Sr2MnPb.

```
4
Lattice="-2.4856 2.4856 5.2180 2.4856 -2.4856 5.2180 2.4856 2.4856 -5.2180" Properties=species:S:1:pos:R:3 pbc="T T T"
Sr 0.0000 0.0000 0.0000
Sr 0.0000 2.4856 2.6090
Mn 0.0000 0.0000 5.2180
Pb 2.4856 0.0000 2.6090
```

Properties
Energy relative to the elements (eV/atom): 0.152
VASP energy (eV per atom): -3.9086
Spin magnetization (μB/f.u.): 4.1

=====

## YSeBr (PBE-GGA)

Data for an optimized crystal structure of YSeBr.

```
3
Lattice="3.6032 -2.0804 0.0000 3.6032 2.0804 0.0000 -2.3547 0.0000 6.7820" Properties=species:S:1:pos:R:3 pbc="T T T"
Y 0.0000 0.0000 0.0000
Se 0.0474 0.0000 5.3985
Br 4.8043 0.0000 1.7794
```

Properties
Energy relative to the elements, uncorrected (eV per atom): -1.841
VASP energy (eV per atom): -5.7145
Spin magnetization (μB/f.u.): 0.0

=====

## Rb2MgCl7 (PBE-GGA)

Data for an optimized crystal structure of Rb2MgCl7.

```
10
Lattice="-4.0397 4.0397 4.5469 4.0397 -4.0397 4.5469 4.0397 4.0397 -4.5469" Properties=species:S:1:pos:R:3 pbc="T T T"
Rb 4.0397 0.0000 2.2735
Rb 0.0000 4.0397 2.2735
Mg 0.0000 0.0000 0.0000
Cl 1.7427 1.7427 0.0000
Cl 2.2970 -2.2970 4.5469
Cl 0.0000 0.0000 2.3957
Cl 0.0000 0.0000 4.5469
Cl 0.0000 0.0000 6.6982
Cl -2.2970 2.2970 4.5469
Cl 2.2970 2.2970 4.5469
```

Properties
Energy relative to the elements, uncorrected (eV per atom): -1.161
VASP energy (eV per atom): -2.8066
Spin magnetization (μB/f.u.): 1.0

=====

## Zr3TlH (PBE-GGA)

Data for an optimized crystal structure of Zr3TlH.

```
10
Lattice="5.2428 0.0000 0.0000 0.0000 6.1478 0.0000 -0.0504 0.0000 5.7736" Properties=species:S:1:pos:R:3 pbc="T T T"
Zr 1.2751 1.5370 2.1222
Zr 1.2592 3.0839 4.9214
Zr 1.2592 6.1378 4.9214
Zr 3.9332 0.0100 0.8523
Zr 3.9332 3.0639 0.8523
Zr 3.9173 4.6109 3.6515
Tl 1.2779 4.6109 2.0011
Tl 3.9145 1.5370 3.7725
H 2.4223 1.5370 0.4093
H 2.7701 4.6109 5.3643
```

Properties
VASP energy (eV per atom): -6.4503
Spin magnetization (μB/f.u.): 0.0

=====

## Pr3Nd6YEr2 (PBE-GGA)

Data for an optimized crystal structure of Pr3Nd6YEr2.

```
12
Lattice="3.1702 -5.4933 0.0000 3.1702 5.4933 0.0000 -2.1146 0.0000 11.8748" Properties=species:S:1:pos:R:3 pbc="T T T"
Pr 0.0000 0.0000 0.0000
Pr 3.1702 1.8318 0.0000
Pr 3.1702 -1.8318 0.0000
Nd 1.0497 1.8376 3.0325
Nd -0.0050 0.0000 8.8412
Nd 1.0497 -1.8376 3.0325
Nd 3.1761 1.8376 8.8423
Nd 4.2307 0.0000 3.0336
Nd 3.1761 -1.8376 8.8423
Y 2.1129 0.0000 5.9374
Er 2.1129 3.6622 5.9374
Er 2.1129 -3.6622 5.9374
```

Properties
Energy relative to the elements (eV/atom): 0.016
VASP energy (eV per atom): -4.8615
Spin magnetization (μB/f.u.): 0.0

=====

## PmSm2Dy6Y (PBE-GGA)

Data for an optimized crystal structure of PmSm2Dy6Y.

```
20
Lattice="4.5166 -7.5652 0.0000 4.5166 7.5652 0.0000 -1.4740 0.0000 9.5927" Properties=species:S:1:pos:R:3 pbc="T T T"
Pm 3.4111 6.1488 7.1945
Pm 4.1481 -6.1488 2.3982
Sm 0.8997 0.8069 9.1902
Sm 1.6367 -0.8069 4.3939
Sm 5.9225 0.8069 5.1988
Sm 6.6595 -0.8069 0.4025
Dy 0.0306 1.5810 5.9547
Dy 7.5286 -1.5810 3.6380
Dy 2.4490 3.4049 1.7769
Dy 0.7676 -1.5810 1.1584
Dy 3.1140 2.8656 5.3387
Dy 3.7082 2.8656 9.0504
Dy 5.8472 3.4049 3.0194
Dy 1.7120 -3.4049 6.5733
Dy 3.8510 -2.8656 0.5423
Dy 4.4452 -2.8656 4.2540
Dy 6.7916 1.5810 8.4343
Dy 5.1102 -3.4049 7.8157
Y 4.1481 0.2959 2.3982
Y 3.4111 -0.2959 7.1945
```

Properties
Energy relative to the elements (eV/atom): 0.119
VASP energy (eV per atom): -4.7071
Spin magnetization (μB/f.u.): 0.0

=====

## Mn2Pd12Au5 (PBE-GGA)

Data for an optimized crystal structure of Mn2Pd12Au5.

```
19
Lattice="6.8771 -4.6688 0.0000 6.8771 4.6688 0.0000 -1.0501 0.0000 4.8259" Properties=species:S:1:pos:R:3 pbc="T T T"
Mn 6.8771 2.3419 0.0000
Mn 6.8771 -2.3419 0.0000
Pd 3.3411 2.3427 3.8431
Pd 0.4442 0.0000 1.3748
Pd 5.1197 2.3596 1.8215
Pd 7.5844 2.3596 3.0043
Pd 4.3842 0.0000 4.7394
Pd 9.3630 2.3427 0.9828
Pd 3.3411 -2.3427 3.8431
Pd 8.3199 0.0000 0.0864
Pd 5.1197 -2.3596 1.8215
Pd 7.5844 -2.3596 3.0043
Pd 12.2599 0.0000 3.4511
Pd 9.3630 -2.3427 0.9828
Au 1.4513 0.0000 4.2188
Au 3.4431 0.0000 2.1265
Au 6.3521 0.0000 2.4129
Au 9.2610 0.0000 2.6994
Au 11.2529 0.0000 0.6071
```

Properties
Energy relative to the elements (eV/atom): -0.043
VASP energy (eV per atom): -5.1504
Spin magnetization (μB/f.u.): 9.3

=====

## Ba2MnNi (PBE-GGA)

Data for an optimized crystal structure of Ba2MnNi.

```
4
Lattice="-2.1158 2.2784 7.5279 2.1158 -2.2784 7.5279 2.1158 2.2784 -7.5279" Properties=species:S:1:pos:R:3 pbc="T T T"
Ba 0.0000 0.0000 0.0000
Ba 0.0000 2.2784 3.7325
Mn 2.1158 0.0000 5.0866
Ni 0.0000 0.0000 6.1699
```

Properties
Energy relative to the elements (eV/atom): 0.311
VASP energy (eV per atom): -4.3883
Spin magnetization (μB/f.u.): 3.6

=====

## MoC2 (PBE-GGA)

Data for an optimized crystal structure of MoC2.

```
6
Lattice="1.3442 -6.9420 0.0000 1.3442 6.9420 0.0000 0.0000 0.0000 2.8777" Properties=species:S:1:pos:R:3 pbc="T T T"
Mo 1.3442 5.2410 0.0000
Mo 1.3442 -5.2410 0.0000
C 0.0000 0.0000 1.4388
C 1.3442 3.0765 1.4388
C 1.3442 0.0000 0.0000
C 1.3442 -3.0765 1.4388
```

Properties
Energy relative to the elements (eV/atom): 1.272
VASP energy (eV per atom): -8.4877
Spin magnetization (μB/f.u.): 0.0

=====

## KCeCu2I8 (PBE-GGA)

Data for an optimized crystal structure of KCeCu2I8.

```
12
Lattice="6.3356 -4.1133 0.0000 6.3356 4.1133 0.0000 -0.1040 0.0000 10.2297" Properties=species:S:1:pos:R:3 pbc="T T T"
K 0.0000 0.0000 0.0000
Ce -0.0520 0.0000 5.1149
Cu 4.3737 0.0000 7.6286
Cu 8.1936 0.0000 2.6011
I 2.9540 0.0000 5.4196
I 6.1319 1.9897 7.3212
I 6.4354 1.9897 2.9085
I 3.3944 0.0000 9.9329
I 9.1729 0.0000 0.2968
I 6.1319 -1.9897 7.3212
I 6.4354 -1.9897 2.9085
I 9.6133 0.0000 4.8101
```

Properties
Energy relative to the elements, uncorrected (eV per atom): -0.727
VASP energy (eV per atom): -3.0291
Spin magnetization (μB/f.u.): 0.0